LiCrP2: optimized geometry, PBE.

Energy of formation   -0.118 eV/atom

CIF file:
```
data_LiCrP2
_chemical_formula_sum 'Li2 Cr2 P4'
_cell_length_a 3.5091
_cell_length_b 3.5091
_cell_length_c 8.4012
_cell_angle_alpha 90.00
_cell_angle_beta 90.00
_cell_angle_gamma 90.00
_symmetry_space_group_name_H-M 'I -4 m 2'
_symmetry_Int_Tables_number 119
_symmetry_space_group_name_Hall 'I -4 -2'
loop_
_atom_site_label
_atom_site_fract_x
_atom_site_fract_y
_atom_site_fract_z
Li1 0.0000 0.0000 0.0000
Cr1 0.0000 0.5000 0.2500
P1 0.0000 0.0000 0.5000
P2 0.0000 0.5000 0.7500
```


LiCrP2: optimized geometry, PBE.

Energy of formation   -0.383 eV/atom

CIF file:
```
data_LiCrP2
_chemical_formula_sum 'Li3 Cr3 P6'
_cell_length_a 3.0037
_cell_length_b 3.0037
_cell_length_c 21.5214
_cell_angle_alpha 90.00
_cell_angle_beta 90.00
_cell_angle_gamma 120.00
_symmetry_space_group_name_H-M 'R -3 m'
_symmetry_Int_Tables_number 166
_symmetry_space_group_name_Hall '-R 3 2"'
loop_
_atom_site_label
_atom_site_fract_x
_atom_site_fract_y
_atom_site_fract_z
Li1 0.0000 0.0000 0.0000
Cr1 0.0000 0.0000 0.5000
P1 0.0000 0.0000 0.2389
```


Li4CrP: optimized geometry, PBE.

Energy of formation   0.192 eV/atom

CIF file:
```
data_Li4CrP
_chemical_formula_sum 'Li16 Cr4 P4'
_cell_length_a 7.0290
_cell_length_b 7.0290
_cell_length_c 7.0290
_cell_angle_alpha 90.00
_cell_angle_beta 90.00
_cell_angle_gamma 90.00
_symmetry_space_group_name_H-M 'F -4 3 m'
_symmetry_Int_Tables_number 216
_symmetry_space_group_name_Hall 'F -4 2 3'
loop_
_atom_site_label
_atom_site_fract_x
_atom_site_fract_y
_atom_site_fract_z
Li1 0.1247 0.1247 0.1247
Cr1 0.0000 0.0000 0.5000
P1 0.2500 0.2500 0.7500
```


LiCrP2: optimized geometry, PBE.

Energy of formation   0.224 eV/atom

CIF file:
```
data_LiCrP2
_chemical_formula_sum 'Li4 Cr4 P8'
_cell_length_a 5.9872
_cell_length_b 5.9872
_cell_length_c 5.9872
_cell_angle_alpha 90.00
_cell_angle_beta 90.00
_cell_angle_gamma 90.00
_symmetry_space_group_name_H-M 'F -4 3 m'
_symmetry_Int_Tables_number 216
_symmetry_space_group_name_Hall 'F -4 2 3'
loop_
_atom_site_label
_atom_site_fract_x
_atom_site_fract_y
_atom_site_fract_z
Li1 0.0000 0.0000 0.0000
Cr1 0.2500 0.2500 0.2500
P1 0.0000 0.0000 0.5000
P2 0.2500 0.2500 0.7500
```


Li2CrP: optimized geometry, PBE.

Energy of formation   0.020 eV/atom

CIF file:
```
data_Li2CrP
_chemical_formula_sum 'Li6 Cr3 P3'
_cell_length_a 2.8687
_cell_length_b 2.8687
_cell_length_c 25.5165
_cell_angle_alpha 90.00
_cell_angle_beta 90.00
_cell_angle_gamma 120.00
_symmetry_space_group_name_H-M 'R 3 m'
_symmetry_Int_Tables_number 160
_symmetry_space_group_name_Hall 'R 3 -2"'
loop_
_atom_site_label
_atom_site_fract_x
_atom_site_fract_y
_atom_site_fract_z
Li1 0.0000 0.0000 0.0000
Li2 0.0000 0.0000 0.2282
Cr1 0.0000 0.0000 0.4726
P1 0.0000 0.0000 0.7454
```


Li2CrP: optimized geometry, PBE.

Energy of formation   -0.133 eV/atom

CIF file:
```
data_Li2CrP
_chemical_formula_sum 'Li2 Cr1 P1'
_cell_length_a 3.0725
_cell_length_b 3.0725
_cell_length_c 6.0101
_cell_angle_alpha 90.00
_cell_angle_beta 90.00
_cell_angle_gamma 90.00
_symmetry_space_group_name_H-M 'P 4 m m'
_symmetry_Int_Tables_number 99
loop_
_symmetry_equiv_pos_as_xyz
'x,y,z'
'-y,x,z'
'-x,-y,z'
'y,-x,z'
'-x,y,z'
'y,x,z'
'x,-y,z'
'-y,-x,z'
loop_
_atom_site_label
_atom_site_fract_x
_atom_site_fract_y
_atom_site_fract_z
Li1 0.0000 0.0000 0.0000
Li2 0.5000 0.5000 0.2947
Cr1 0.5000 0.5000 0.7268
P1 0.0000 0.0000 0.5707
```


Li2CrP: optimized geometry, PBE.

Energy of formation   -0.115 eV/atom

CIF file:
```
data_Li2CrP
_chemical_formula_sum 'Li4 Cr2 P2'
_cell_length_a 3.6013
_cell_length_b 3.6013
_cell_length_c 8.5469
_cell_angle_alpha 90.00
_cell_angle_beta 90.00
_cell_angle_gamma 90.00
_symmetry_space_group_name_H-M 'I 4/m m m'
_symmetry_Int_Tables_number 139
_symmetry_space_group_name_Hall '-I 4 2'
loop_
_atom_site_label
_atom_site_fract_x
_atom_site_fract_y
_atom_site_fract_z
Li1 0.0000 0.5000 0.2500
Cr1 0.0000 0.0000 0.0000
P1 0.0000 0.0000 0.5000
```


Li2CrP: optimized geometry, PBE.

Energy of formation   -0.002 eV/atom

CIF file:
```
data_Li2CrP
_chemical_formula_sum 'Li8 Cr4 P4'
_cell_length_a 3.5208
_cell_length_b 3.5208
_cell_length_c 18.7512
_cell_angle_alpha 90.00
_cell_angle_beta 90.00
_cell_angle_gamma 90.00
_symmetry_space_group_name_H-M 'I -4 2 d'
_symmetry_Int_Tables_number 122
_symmetry_space_group_name_Hall 'I -4 2bw'
loop_
_atom_site_label
_atom_site_fract_x
_atom_site_fract_y
_atom_site_fract_z
Li1 0.2235 0.2500 0.1250
Cr1 0.0000 0.0000 0.5000
P1 0.0000 0.0000 0.0000
```


Repeat the eighth record exactly.
Li2CrP: optimized geometry, PBE.

Energy of formation   -0.002 eV/atom

CIF file:
```
data_Li2CrP
_chemical_formula_sum 'Li8 Cr4 P4'
_cell_length_a 3.5208
_cell_length_b 3.5208
_cell_length_c 18.7512
_cell_angle_alpha 90.00
_cell_angle_beta 90.00
_cell_angle_gamma 90.00
_symmetry_space_group_name_H-M 'I -4 2 d'
_symmetry_Int_Tables_number 122
_symmetry_space_group_name_Hall 'I -4 2bw'
loop_
_atom_site_label
_atom_site_fract_x
_atom_site_fract_y
_atom_site_fract_z
Li1 0.2235 0.2500 0.1250
Cr1 0.0000 0.0000 0.5000
P1 0.0000 0.0000 0.0000
```


- energy of formation of number 8 (Li2CrP)?
  -0.002 eV/atom


- Which value of energy of formation does entry 2 give?
  -0.383 eV/atom


- Which value of energy of formation does entry 7 give?
  -0.115 eV/atom